# Cd2HgC GGA-PBEsol relaxed
data_Cd2HgC
_cell_length_a 4.629
_cell_length_b 4.629
_cell_length_c 4.629
_cell_angle_alpha 60.00
_cell_angle_beta 60.00
_cell_angle_gamma 60.00
_space_group_name_H-M_alt 'P 1'
_space_group_IT_number 1
loop_
_space_group_symop_operation_xyz
'x,y,z'
loop_
_atom_site_label
_atom_site_type_symbol
_atom_site_fract_x
_atom_site_fract_y
_atom_site_fract_z
Hg1 Hg 0.500 0.500 0.500
C1 C 0.000 0.000 0.000
Cd1 Cd 0.250 0.250 0.250
Cd2 Cd 0.750 0.750 0.750
# - Crystal system: cubic
# - Formation enthalpy at 0 K: 1.2167 eV/atom



# LiCdHg2C GGA-PBEsol relaxed
data_LiCdHg2C
_cell_length_a 4.110
_cell_length_b 5.615
_cell_length_c 5.615
_cell_angle_alpha 90.00
_cell_angle_beta 90.00
_cell_angle_gamma 90.00
_space_group_name_H-M_alt 'P 1'
_space_group_IT_number 1
loop_
_space_group_symop_operation_xyz
'x,y,z'
loop_
_atom_site_label
_atom_site_type_symbol
_atom_site_fract_x
_atom_site_fract_y
_atom_site_fract_z
Cd1 Cd 0.000 0.000 0.000
Hg1 Hg 0.000 0.500 0.000
Hg2 Hg 0.000 0.000 0.500
C1 C 0.500 0.000 0.000
Li1 Li 0.500 0.500 0.500
# - Crystal system: tetragonal
# - Formation enthalpy at 0 K: 1.0720 eV/atom



# CdCI2 GGA-PBEsol relaxed
data_CdCI2
_cell_length_a 7.420
_cell_length_b 7.420
_cell_length_c 7.420
_cell_angle_alpha 60.00
_cell_angle_beta 60.00
_cell_angle_gamma 60.00
_space_group_name_H-M_alt 'P 1'
_space_group_IT_number 1
loop_
_space_group_symop_operation_xyz
'x,y,z'
loop_
_atom_site_label
_atom_site_type_symbol
_atom_site_fract_x
_atom_site_fract_y
_atom_site_fract_z
Cd1 Cd 0.500 0.500 0.500
Cd2 Cd 0.750 0.750 0.750
I1 I 0.125 0.125 0.125
I2 I 0.625 0.125 0.125
I3 I 0.125 0.125 0.625
I4 I 0.125 0.625 0.125
C1 C 0.250 0.250 0.250
C2 C 0.000 0.000 0.000
# - Formation energy (no corrections): 1168 meV per atom
# - Energy above the most stable polymorph in this dataset: 0 meV per atom
# - Crystal system: cubic



# CdCI2 GGA-PBEsol relaxed
data_CdCI2
_cell_length_a 5.152
_cell_length_b 5.152
_cell_length_c 5.152
_cell_angle_alpha 60.00
_cell_angle_beta 60.00
_cell_angle_gamma 60.00
_space_group_name_H-M_alt 'P 1'
_space_group_IT_number 1
loop_
_space_group_symop_operation_xyz
'x,y,z'
loop_
_atom_site_label
_atom_site_type_symbol
_atom_site_fract_x
_atom_site_fract_y
_atom_site_fract_z
C1 C 0.000 0.000 0.000
I1 I 0.250 0.250 0.250
I2 I 0.750 0.750 0.750
Cd1 Cd 0.500 0.500 0.500
# - Formation energy (no corrections): 1596 meV per atom
# - Energy above the most stable polymorph in this dataset: 429 meV per atom
# - Crystal system: cubic



# CdTe2CI GGA-PBEsol relaxed
data_CdTe2CI
_cell_length_a 4.842
_cell_length_b 4.842
_cell_length_c 4.894
_cell_angle_alpha 90.00
_cell_angle_beta 90.00
_cell_angle_gamma 90.00
_space_group_name_H-M_alt 'P 1'
_space_group_IT_number 1
loop_
_space_group_symop_operation_xyz
'x,y,z'
loop_
_atom_site_label
_atom_site_type_symbol
_atom_site_fract_x
_atom_site_fract_y
_atom_site_fract_z
Cd1 Cd 0.500 0.500 0.500
I1 I 0.000 0.000 0.500
Te1 Te 0.000 0.500 0.000
Te2 Te 0.500 0.000 0.000
C1 C 0.000 0.000 0.000
# - Formation energy (no corrections): 899 meV per atom
# - Crystal system: tetragonal



# CdIr2C GGA-PBEsol relaxed
data_CdIr2C
_cell_length_a 5.341
_cell_length_b 5.341
_cell_length_c 5.341
_cell_angle_alpha 105.86
_cell_angle_beta 105.86
_cell_angle_gamma 116.96
_space_group_name_H-M_alt 'P 1'
_space_group_IT_number 1
loop_
_space_group_symop_operation_xyz
'x,y,z'
loop_
_atom_site_label
_atom_site_type_symbol
_atom_site_fract_x
_atom_site_fract_y
_atom_site_fract_z
Ir1 Ir 0.488 0.375 0.613
Ir2 Ir 0.125 0.512 0.887
Ir3 Ir 0.762 0.875 0.387
Ir4 Ir 0.625 0.238 0.113
C1 C 0.750 0.250 0.500
C2 C 0.500 0.500 0.000
Cd1 Cd 0.250 0.750 0.500
Cd2 Cd 0.000 0.000 0.000
# - Energy above the most stable polymorph in this dataset: 0 meV per atom
# - Crystal system: tetragonal
# - Formation enthalpy at 0 K: 0.3987 eV/atom